A) ## Ho2PuSi (PBE)

Data for Ho2PuSi after structural relaxation.

Output
total magnetization	6.46	μB per formula unit

Cell and atoms, written as POSCAR:
```
Ho2PuSi
1.0
1.741 1.005 10.634
-1.741 1.005 10.634
0.000 -2.011 10.634
Ho Pu Si
2 1 1
direct
0.104 0.104 0.104 Ho
0.896 0.896 0.896 Ho
0.000 0.000 0.000 Pu
0.500 0.500 0.500 Si
```

B) ## Ho2PuSi (PBE)

Data for Ho2PuSi after structural relaxation.

Output
total magnetization	6.27	μB per formula unit

Cell and atoms, written as POSCAR:
```
Ho2PuSi
1.0
4.647 0.000 0.000
0.000 4.647 0.000
0.000 0.000 4.418
Ho Pu Si
2 1 1
direct
0.000 0.500 0.000 Ho
0.500 0.000 0.000 Ho
0.000 0.000 0.500 Pu
0.500 0.500 0.500 Si
```

Which structure is the most stable? The one labeled B).

A) ## HoPuSi (PBE)

Data for HoPuSi after structural relaxation.

Output
total magnetization	6.20	μB per formula unit

Cell and atoms, written as POSCAR:
```
HoPuSi
1.0
3.278 0.000 0.000
0.000 4.722 0.000
0.000 0.000 9.150
Ho Pu Si
2 2 2
direct
0.000 0.000 0.000 Ho
0.000 0.500 0.500 Ho
0.500 0.000 0.327 Pu
0.500 0.000 0.673 Pu
0.500 0.500 0.143 Si
0.500 0.500 0.857 Si
```

B) ## HoPuSi (PBE)

Data for HoPuSi after structural relaxation.

Output
total magnetization	6.25	μB per formula unit

Cell and atoms, written as POSCAR:
```
HoPuSi
1.0
0.000 3.420 3.420
3.420 0.000 3.420
3.420 3.420 0.000
Ho Pu Si
1 1 1
direct
0.000 0.000 0.000 Ho
0.500 0.500 0.500 Pu
0.750 0.750 0.750 Si
```

Which structure is the most stable? The one labeled B).

A) ## Sm2HoPu (PBE)

Data for Sm2HoPu after structural relaxation.

Output
total magnetization	7.46	μB per formula unit

Cell and atoms, written as POSCAR:
```
Sm2HoPu
1.0
0.000 3.989 3.989
3.989 0.000 3.989
3.989 3.989 0.000
Sm Ho Pu
2 1 1
direct
0.250 0.250 0.250 Sm
0.750 0.750 0.750 Sm
0.000 0.000 0.000 Ho
0.500 0.500 0.500 Pu
```

B) ## Sm2HoPu (PBE)

Data for Sm2HoPu after structural relaxation.

Output
total magnetization	6.15	μB per formula unit

Cell and atoms, written as POSCAR:
```
Sm2HoPu
1.0
3.532 0.000 0.000
0.000 3.532 0.000
0.000 0.000 10.109
Sm Ho Pu
2 1 1
direct
0.000 0.000 0.246 Sm
0.000 0.000 0.754 Sm
0.500 0.500 0.500 Ho
0.500 0.500 0.000 Pu
```

Which structure is the most stable? The one labeled B).

A) ## Sm2HoPu (PBE)

Data for Sm2HoPu after structural relaxation.

Output
total magnetization	6.24	μB per formula unit

Cell and atoms, written as POSCAR:
```
Sm2HoPu
1.0
5.013 0.000 0.000
0.000 5.013 0.000
0.000 0.000 5.004
Sm Ho Pu
2 1 1
direct
0.000 0.500 0.000 Sm
0.500 0.000 0.000 Sm
0.000 0.000 0.500 Ho
0.500 0.500 0.500 Pu
```

B) ## Sm2HoPu (PBE)

Data for Sm2HoPu after structural relaxation.

Output
total magnetization	4.96	μB per formula unit

Cell and atoms, written as POSCAR:
```
Sm2HoPu
1.0
1.728 0.997 12.321
-1.728 0.997 12.321
0.000 -1.995 12.321
Sm Ho Pu
2 1 1
direct
0.091 0.091 0.091 Sm
0.909 0.909 0.909 Sm
0.000 0.000 0.000 Ho
0.500 0.500 0.500 Pu
```

C) ## Sm2HoPu (PBE)

Data for Sm2HoPu after structural relaxation.

Output
total magnetization	6.02	μB per formula unit

Cell and atoms, written as POSCAR:
```
Sm2HoPu
1.0
1.788 1.032 11.470
-1.788 1.032 11.470
0.000 -2.064 11.470
Sm Ho Pu
2 1 1
direct
0.000 0.000 0.000 Sm
0.168 0.168 0.168 Sm
0.751 0.751 0.751 Ho
0.584 0.584 0.584 Pu
```

Which structure is the most stable? The one labeled C).

A) ## Ho2PuSn (PBE)

Data for Ho2PuSn after structural relaxation.

Output
total magnetization	6.76	μB per formula unit

Cell and atoms, written as POSCAR:
```
Ho2PuSn
1.0
4.854 0.000 0.000
0.000 4.854 0.000
0.000 0.000 4.604
Ho Pu Sn
2 1 1
direct
0.000 0.500 0.000 Ho
0.500 0.000 0.000 Ho
0.000 0.000 0.500 Pu
0.500 0.500 0.500 Sn
```

B) ## Ho2PuSn (PBE)

Data for Ho2PuSn after structural relaxation.

Output
total magnetization	6.75	μB per formula unit

Cell and atoms, written as POSCAR:
```
Ho2PuSn
1.0
0.000 3.782 3.782
3.782 0.000 3.782
3.782 3.782 0.000
Ho Pu Sn
2 1 1
direct
0.250 0.250 0.250 Ho
0.750 0.750 0.750 Ho
0.000 0.000 0.000 Pu
0.500 0.500 0.500 Sn
```

C) ## Ho2PuSn (PBE)

Data for Ho2PuSn after structural relaxation.

Output
total magnetization	6.09	μB per formula unit

Cell and atoms, written as POSCAR:
```
Ho2PuSn
1.0
1.740 1.004 10.798
-1.740 1.004 10.798
0.000 -2.009 10.798
Ho Pu Sn
2 1 1
direct
0.247 0.247 0.247 Ho
0.753 0.753 0.753 Ho
0.000 0.000 0.000 Pu
0.500 0.500 0.500 Sn
```

Which structure is the most stable? The one labeled A).

A) ## Tb2HoPu (PBE)

Data for Tb2HoPu after structural relaxation.

Output
total magnetization	6.11	μB per formula unit

Cell and atoms, written as POSCAR:
```
Tb2HoPu
1.0
3.494 0.000 0.000
0.000 3.494 0.000
0.000 0.000 10.012
Tb Ho Pu
2 1 1
direct
0.000 0.000 0.246 Tb
0.000 0.000 0.754 Tb
0.500 0.500 0.500 Ho
0.500 0.500 0.000 Pu
```

B) ## Tb2HoPu (PBE)

Data for Tb2HoPu after structural relaxation.

Output
total magnetization	6.22	μB per formula unit

Cell and atoms, written as POSCAR:
```
Tb2HoPu
1.0
4.966 0.000 0.000
0.000 4.966 0.000
0.000 0.000 4.960
Tb Ho Pu
2 1 1
direct
0.000 0.500 0.000 Tb
0.500 0.000 0.000 Tb
0.000 0.000 0.500 Ho
0.500 0.500 0.500 Pu
```

C) ## Tb2HoPu (PBE)

Data for Tb2HoPu after structural relaxation.

Output
total magnetization	6.43	μB per formula unit

Cell and atoms, written as POSCAR:
```
Tb2HoPu
1.0
1.722 0.994 12.207
-1.722 0.994 12.207
0.000 -1.988 12.207
Tb Ho Pu
2 1 1
direct
0.089 0.089 0.089 Tb
0.911 0.911 0.911 Tb
0.500 0.500 0.500 Ho
0.000 0.000 0.000 Pu
```

D) ## Tb2HoPu (PBE)

Data for Tb2HoPu after structural relaxation.

Output
total magnetization	7.31	μB per formula unit

Cell and atoms, written as POSCAR:
```
Tb2HoPu
1.0
0.000 3.947 3.947
3.947 0.000 3.947
3.947 3.947 0.000
Tb Ho Pu
2 1 1
direct
0.250 0.250 0.250 Tb
0.750 0.750 0.750 Tb
0.000 0.000 0.000 Ho
0.500 0.500 0.500 Pu
```

Which structure is the most stable? The one labeled A).

A) ## TbHo2Pu (PBE)

Data for TbHo2Pu after structural relaxation.

Output
total magnetization	6.23	μB per formula unit

Cell and atoms, written as POSCAR:
```
TbHo2Pu
1.0
4.949 0.000 0.000
0.000 4.949 0.000
0.000 0.000 4.956
Tb Ho Pu
1 2 1
direct
0.000 0.000 0.000 Tb
0.000 0.500 0.500 Ho
0.500 0.000 0.500 Ho
0.500 0.500 0.000 Pu
```

B) ## TbHo2Pu (PBE)

Data for TbHo2Pu after structural relaxation.

Output
total magnetization	6.40	μB per formula unit

Cell and atoms, written as POSCAR:
```
TbHo2Pu
1.0
1.717 0.991 12.182
-1.717 0.991 12.182
0.000 -1.982 12.182
Tb Ho Pu
1 2 1
direct
0.000 0.000 0.000 Tb
0.411 0.411 0.411 Ho
0.589 0.589 0.589 Ho
0.500 0.500 0.500 Pu
```

C) ## TbHo2Pu (PBE)

Data for TbHo2Pu after structural relaxation.

Output
total magnetization	6.90	μB per formula unit

Cell and atoms, written as POSCAR:
```
TbHo2Pu
1.0
0.000 3.938 3.938
3.938 0.000 3.938
3.938 3.938 0.000
Tb Ho Pu
1 2 1
direct
0.000 0.000 0.000 Tb
0.250 0.250 0.250 Ho
0.750 0.750 0.750 Ho
0.500 0.500 0.500 Pu
```

D) ## TbHo2Pu (PBE)

Data for TbHo2Pu after structural relaxation.

Output
total magnetization	6.22	μB per formula unit

Cell and atoms, written as POSCAR:
```
TbHo2Pu
1.0
3.486 0.000 0.000
0.000 3.486 0.000
0.000 0.000 9.972
Tb Ho Pu
1 2 1
direct
0.000 0.000 0.000 Tb
0.500 0.500 0.255 Ho
0.500 0.500 0.745 Ho
0.000 0.000 0.500 Pu
```

Which structure is the most stable? The one labeled D).

A) ## TbHoPu (PBE)

Data for TbHoPu after structural relaxation.

Output
total magnetization	6.51	μB per formula unit

Cell and atoms, written as POSCAR:
```
TbHoPu
1.0
3.360 0.000 0.000
0.000 5.551 0.000
0.000 0.000 9.663
Tb Ho Pu
2 2 2
direct
0.250 0.250 0.101 Tb
0.750 0.750 0.899 Tb
0.250 0.750 0.565 Ho
0.750 0.250 0.435 Ho
0.250 0.250 0.754 Pu
0.750 0.750 0.246 Pu
```

B) ## TbHoPu (PBE)

Data for TbHoPu after structural relaxation.

Output
total magnetization	6.13	μB per formula unit

Cell and atoms, written as POSCAR:
```
TbHoPu
1.0
-1.748 1.748 7.394
1.748 -1.748 7.394
1.748 1.748 -7.394
Tb Ho Pu
1 1 1
direct
0.000 0.000 0.000 Tb
0.672 0.672 0.000 Ho
0.335 0.335 0.000 Pu
```

C) ## TbHoPu (PBE)

Data for TbHoPu after structural relaxation.

Output
total magnetization	6.13	μB per formula unit

Cell and atoms, written as POSCAR:
```
TbHoPu
1.0
3.511 0.000 0.000
-1.756 3.041 0.000
0.000 0.000 8.520
Tb Ho Pu
1 1 1
direct
0.000 0.000 0.000 Tb
0.333 0.667 0.662 Ho
0.667 0.333 0.332 Pu
```

Which structure is the most stable? The one labeled B).